The following is a DFT calculation (GGA-PBEsol) of a relaxed Rb3CuO2 crystal. Values from VASP.

## Properties
E_tot: -4.00 eV/atom
Theoretical density: 4.2 g cm⁻³
Formation energy from raw total energies: -1.02 eV per atom

Cell and atoms, written as Quantum ESPRESSO input:
```
&SYSTEM
  ibrav = 0, nat = 24, ntyp = 3
/
ATOMIC_SPECIES
Rb 85.47 Rb.upf
Cu 63.55 Cu.upf
O 16.00 O.upf
CELL_PARAMETERS angstrom
-0.335 -5.730 3.378
-2.586 -1.305 -8.744
9.078 -1.943 -2.395
ATOMIC_POSITIONS angstrom
Rb 7.229 -6.767 -4.135
Rb 3.951 -5.259 1.407
Rb -1.073 -2.212 -3.626
Rb 2.205 -3.720 -9.168
Rb 3.579 -5.169 -2.380
Rb -0.387 -5.147 1.759
Rb 2.577 -3.809 -5.381
Rb 6.544 -3.831 -9.520
Rb 4.885 -5.873 -7.064
Rb 0.548 -6.780 -3.574
Rb 1.272 -3.105 -0.697
Rb 5.608 -2.198 -4.187
Cu 6.853 -4.485 -1.908
Cu 2.059 -1.252 -3.511
Cu -0.696 -4.493 -5.853
Cu 4.098 -7.726 -4.250
O 5.629 -3.120 -6.905
O 0.342 -3.847 -7.165
O 0.528 -5.859 -0.856
O 5.815 -5.131 -0.596
O 3.206 -2.417 -2.771
O -1.703 -5.197 -4.544
O 7.859 -3.782 -3.217
O 2.951 -6.561 -4.990
```

=====

The following is a DFT calculation (GGA-PBEsol) of a relaxed Y3HgPb crystal. Values from VASP.

## Properties
Formation energy: 1.6 eV/f.u.
E_tot: -4.70 eV/atom
Theoretical density: 6.2 g cm⁻³

Cell and atoms, written as Quantum ESPRESSO input:
```
&SYSTEM
  ibrav = 0, nat = 5, ntyp = 3
/
ATOMIC_SPECIES
Pb 207.20 Pb.upf
Y 88.91 Y.upf
Hg 200.59 Hg.upf
CELL_PARAMETERS angstrom
-3.656 0.597 4.269
4.108 -1.211 3.688
1.304 5.489 0.350
ATOMIC_POSITIONS angstrom
Pb 0.000 0.000 0.000
Y 2.054 -0.606 1.844
Y 0.652 2.744 0.175
Y -1.828 0.299 2.134
Hg 0.878 2.437 4.153
```

=====

The following is a DFT calculation (GGA-PBEsol) of a relaxed Li10GeP2Se12 crystal. Values from VASP.

## Properties
Offset from the most stable computed form: 11 meV/atom
E_tot: -4.10 eV/atom
Theoretical density: 3.5 g cm⁻³
Formation energy from raw total energies: -0.80 eV per atom

Cell and atoms, written as Quantum ESPRESSO input:
```
&SYSTEM
  ibrav = 0, nat = 50, ntyp = 4
/
ATOMIC_SPECIES
Li 6.94 Li.upf
Ge 72.64 Ge.upf
P 30.97 P.upf
Se 78.96 Se.upf
CELL_PARAMETERS angstrom
-4.657 -7.626 -1.851
7.111 -3.191 -4.746
4.739 -5.519 10.811
ATOMIC_POSITIONS angstrom
Li 2.226 -4.236 1.391
Li 2.961 -9.764 -1.752
Li 7.922 -8.883 4.376
Li 2.004 -10.636 6.075
Li 5.453 -5.684 -0.762
Li -0.265 -8.316 0.401
Li 4.117 -7.176 6.915
Li 5.809 -12.343 3.536
Li 4.509 -5.251 10.287
Li 2.139 -2.492 4.881
Li 3.805 -8.410 2.582
Li 1.435 -5.651 -2.823
Li 4.166 -4.478 -3.690
Li -1.458 -6.635 -2.326
Li 3.118 -5.735 3.981
Li 4.329 -10.897 0.815
Li 6.544 -7.272 1.695
Li 0.904 -9.360 3.101
Li 0.786 -2.961 -1.434
Li 1.923 -8.152 -4.582
Ge 5.004 -9.807 5.319
Ge 2.634 -7.048 -0.087
P 3.294 -3.837 7.516
P 0.925 -1.077 2.110
P 5.970 -4.407 3.136
P -2.283 -3.865 -0.823
Se 6.936 -4.509 1.125
Se 4.078 -3.227 3.033
Se 2.928 -7.312 9.304
Se 1.056 -10.378 8.560
Se -0.421 -5.032 -0.703
Se 3.890 -6.966 -3.580
Se 5.515 -6.447 3.826
Se 2.692 -11.070 2.703
Se 6.137 -3.102 -2.659
Se 1.948 -1.223 0.136
Se 1.900 -4.894 6.137
Se -0.844 -9.386 5.046
Se 1.595 -6.933 2.056
Se 4.657 -8.307 0.012
Se 6.498 -8.737 6.838
Se 4.492 -12.021 6.041
Se 5.167 -5.000 7.597
Se 9.435 -6.915 4.749
Se -2.350 -7.704 1.659
Se 0.445 -3.127 2.770
Se 6.006 -9.899 3.177
Se 3.003 -8.552 5.182
Se 1.152 -8.077 -1.617
Se 3.119 -4.856 -0.835
```

=====

The following is a DFT calculation (GGA-PBEsol) of a relaxed Mn2ReRu crystal. Values from VASP.

## Properties
Formation energy: 0.6 eV/f.u.
E_tot: -10.60 eV/atom
Theoretical density: 13.3 g cm⁻³

Cell and atoms, written as Quantum ESPRESSO input:
```
&SYSTEM
  ibrav = 0, nat = 4, ntyp = 3
/
ATOMIC_SPECIES
Mn 54.94 Mn.upf
Re 186.21 Re.upf
Ru 101.07 Ru.upf
CELL_PARAMETERS angstrom
2.618 0.000 0.000
-1.309 4.245 0.007
0.000 -0.814 4.470
ATOMIC_POSITIONS angstrom
Mn 1.309 1.519 3.397
Mn 0.000 1.911 1.080
Re 0.000 -0.407 2.235
Ru 1.309 0.000 0.000
```

=====

The following is a DFT calculation (GGA-PBEsol) of a relaxed U3Ni3Sn2Sb2 crystal. Values from VASP.

## Properties
E_tot: -7.55 eV/atom
Theoretical density: 11.6 g cm⁻³
Formation energy from raw total energies: -0.30 eV per atom

Cell and atoms, written as Quantum ESPRESSO input:
```
&SYSTEM
  ibrav = 0, nat = 20, ntyp = 4
/
ATOMIC_SPECIES
U 238.03 U.upf
Ni 58.69 Ni.upf
Sn 118.71 Sn.upf
Sb 121.76 Sb.upf
CELL_PARAMETERS angstrom
7.980 0.000 0.000
-2.660 7.523 0.000
-2.660 -3.762 6.516
ATOMIC_POSITIONS angstrom
U -1.994 4.231 4.071
U 1.994 1.412 5.703
U 4.654 -1.883 4.887
U 3.326 1.883 1.629
U 0.666 5.171 0.816
U -0.666 0.471 2.442
Ni 0.670 2.347 0.808
Ni 4.650 -0.466 2.450
Ni -0.670 1.873 4.887
Ni -1.990 5.650 1.629
Ni 3.330 3.288 4.079
Ni 1.990 -1.407 5.695
Sn 3.538 5.003 2.150
Sn 5.347 0.000 0.000
Sn -1.782 3.122 1.108
Sn 0.878 3.160 3.258
Sb 1.332 0.000 0.000
Sb -0.444 -0.628 5.428
Sb -3.104 1.253 4.345
Sb 2.216 -0.625 3.258
```

=====

The following is a DFT calculation (GGA-PBEsol) of a relaxed CdAsBr2 crystal. Values from VASP.

## Properties
Offset from the most stable computed form: 82 meV/atom
E_tot: -2.20 eV/atom
Theoretical density: 6.4 g cm⁻³
Formation energy from raw total energies: 0.31 eV per atom

Cell and atoms, written as Quantum ESPRESSO input:
```
&SYSTEM
  ibrav = 0, nat = 4, ntyp = 3
/
ATOMIC_SPECIES
As 74.92 As.upf
Br 79.90 Br.upf
Cd 112.41 Cd.upf
CELL_PARAMETERS angstrom
-2.303 0.957 -4.370
-2.000 -3.768 -2.667
-4.998 -0.450 -0.361
ATOMIC_POSITIONS angstrom
As -4.650 -1.631 -3.699
Br 0.000 0.000 0.000
Br -6.975 -2.446 -5.548
Cd -2.325 -0.815 -1.849
```